Version w
First-principles (PBE) data for a geometry-optimized MgNiPS2 structure, as listed in the Alexandria database.

Summary:
The calculation puts the calculated volume at 105.4 Å³ per cell.

a = 4.7037 Å, b = 4.7037 Å, c = 4.7625 Å
α = 90.00°, β = 90.00°, γ = 90.00°
Space group P4/mmm (No. 123)
Inequivalent atoms, fractional coordinates:
Mg  0.0000  0.0000  0.0000 [1 per cell]
Ni  0.5000  0.5000  0.5000 [1 per cell]
P  0.0000  0.0000  0.5000 [1 per cell]
S  0.0000  0.5000  0.0000 [2 per cell]

=====

Version x
First-principles (PBE) data for a geometry-optimized MgNiPS2 structure, as listed in the Alexandria database.

Summary:
The calculation puts the calculated volume at 93.2 Å³ per cell.

a = 4.7787 Å, b = 4.7787 Å, c = 4.0801 Å
α = 90.00°, β = 90.00°, γ = 90.00°
Space group P4/mmm (No. 123)
Inequivalent atoms, fractional coordinates:
Mg  0.0000  0.0000  0.0000 [1 per cell]
Ni  0.5000  0.5000  0.5000 [1 per cell]
P  0.5000  0.5000  0.0000 [1 per cell]
S  0.0000  0.5000  0.5000 [2 per cell]

=====

It comes down to version x, which is 0.824 eV/atom more stable than the next structure.